# 1
Density functional theory data (GGA-PBE) for an optimized crystal structure of Ca2CeAu. Values from VASP.

Properties
Energy of formation from the pure elements = -0.051 eV per atom
Calculated total energy = -3.355 eV per atom
Spin magnetization = 1.8 μB per formula unit

Geometry as Quantum ESPRESSO input:
```
&SYSTEM
  ibrav = 0, nat = 4, ntyp = 3
/
ATOMIC_SPECIES
Ca 40.08 Ca.upf
Ce 140.12 Ce.upf
Au 196.97 Au.upf
CELL_PARAMETERS angstrom
1.8452 1.0653 11.2706
-1.8452 1.0653 11.2706
0.0000 -2.1306 11.2706
ATOMIC_POSITIONS crystal
Ca 0.1052 0.1052 0.1052
Ca 0.8948 0.8948 0.8948
Ce 0.0000 0.0000 0.0000
Au 0.5000 0.5000 0.5000
```

# 2
Density functional theory data (GGA-PBE) for an optimized crystal structure of CrTc2Ag. Values from VASP.

Properties
Energy of formation from the pure elements = 0.413 eV per atom
Calculated total energy = -7.889 eV per atom
Offset from the most stable computed form = 0.43 eV/f.u.
Spin magnetization = 0.0 μB per formula unit

Geometry as Quantum ESPRESSO input:
```
&SYSTEM
  ibrav = 0, nat = 4, ntyp = 3
/
ATOMIC_SPECIES
Cr 52.00 Cr.upf
Tc 98.00 Tc.upf
Ag 107.87 Ag.upf
CELL_PARAMETERS angstrom
1.5109 -2.1984 0.0000
1.5109 2.1984 0.0000
0.0000 0.0000 8.9752
ATOMIC_POSITIONS crystal
Cr 0.0000 0.0000 0.0000
Tc 0.0000 0.0000 0.5398
Tc 0.5000 0.5000 0.7863
Ag 0.5000 0.5000 0.2627
```

# 3
Density functional theory data (GGA-PBE) for an optimized crystal structure of Zn3Se. Values from VASP.

Properties
Raw formation energy = 0.125 eV/atom
Calculated total energy = -1.702 eV per atom
Offset from the most stable computed form = 1.17 eV/f.u.
Spin magnetization = 0.0 μB per formula unit

Geometry as Quantum ESPRESSO input:
```
&SYSTEM
  ibrav = 0, nat = 8, ntyp = 2
/
ATOMIC_SPECIES
Zn 65.41 Zn.upf
Se 78.96 Se.upf
CELL_PARAMETERS angstrom
5.4473 0.0000 0.0000
-2.7237 4.7175 0.0000
0.0000 0.0000 5.8655
ATOMIC_POSITIONS crystal
Zn 0.1669 0.3338 0.2500
Zn 0.1669 0.8331 0.2500
Zn 0.3338 0.1669 0.7500
Zn 0.6662 0.8331 0.2500
Zn 0.8331 0.1669 0.7500
Zn 0.8331 0.6662 0.7500
Se 0.3333 0.6667 0.7500
Se 0.6667 0.3333 0.2500
```

# 4
Density functional theory data (GGA-PBE) for an optimized crystal structure of Dy4Tl2Ir. Values from VASP.

Properties
Energy of formation from the pure elements = -0.364 eV per atom
Calculated total energy = -4.936 eV per atom
Spin magnetization = 0.0 μB per formula unit

Geometry as Quantum ESPRESSO input:
```
&SYSTEM
  ibrav = 0, nat = 7, ntyp = 3
/
ATOMIC_SPECIES
Dy 162.50 Dy.upf
Tl 204.38 Tl.upf
Ir 192.22 Ir.upf
CELL_PARAMETERS angstrom
6.5578 0.0000 0.0000
0.0000 3.7909 0.0000
-2.9766 0.0000 8.4245
ATOMIC_POSITIONS crystal
Dy 0.1178 0.0000 0.2606
Dy 0.3469 0.5000 0.6568
Dy 0.6531 0.5000 0.3432
Dy 0.8822 0.0000 0.7394
Tl 0.2563 0.5000 0.9976
Tl 0.7437 0.5000 0.0024
Ir 0.5000 0.0000 0.5000
```

# 5
Density functional theory data (GGA-PBE) for an optimized crystal structure of Ni2OsSe. Values from VASP.

Properties
Raw formation energy = 0.363 eV/atom
Calculated total energy = -6.206 eV per atom
Spin magnetization = 0.0 μB per formula unit

Geometry as Quantum ESPRESSO input:
```
&SYSTEM
  ibrav = 0, nat = 4, ntyp = 3
/
ATOMIC_SPECIES
Ni 58.69 Ni.upf
Os 190.23 Os.upf
Se 78.96 Se.upf
CELL_PARAMETERS angstrom
2.5375 -3.7943 0.0000
2.5375 3.7943 0.0000
0.0000 0.0000 2.7537
ATOMIC_POSITIONS crystal
Ni 0.0000 0.5000 0.0000
Ni 0.5000 0.0000 0.0000
Os 0.0000 0.0000 0.5000
Se 0.5000 0.5000 0.5000
```

# 6
Density functional theory data (GGA-PBE) for an optimized crystal structure of TmGa3Pt. Values from VASP.

Properties
Energy of formation from the pure elements = -0.710 eV per atom
Calculated total energy = -4.628 eV per atom
Offset from the most stable computed form = 0.00 eV/f.u.
Spin magnetization = 0.0 μB per formula unit

Geometry as Quantum ESPRESSO input:
```
&SYSTEM
  ibrav = 0, nat = 20, ntyp = 3
/
ATOMIC_SPECIES
Tm 168.93 Tm.upf
Ga 69.72 Ga.upf
Pt 195.08 Pt.upf
CELL_PARAMETERS angstrom
8.1988 0.0000 0.0000
0.0000 4.1793 0.0000
0.0000 0.0000 10.9121
ATOMIC_POSITIONS crystal
Tm 0.1977 0.2500 0.0125
Tm 0.3023 0.7500 0.5125
Tm 0.6977 0.2500 0.4875
Tm 0.8023 0.7500 0.9875
Ga 0.0716 0.2500 0.5918
Ga 0.1002 0.7500 0.8238
Ga 0.1357 0.7500 0.2067
Ga 0.3643 0.2500 0.7067
Ga 0.3998 0.2500 0.3238
Ga 0.4284 0.7500 0.0918
Ga 0.5716 0.2500 0.9082
Ga 0.6002 0.7500 0.6762
Ga 0.6357 0.7500 0.2933
Ga 0.8643 0.2500 0.7933
Ga 0.8998 0.2500 0.1762
Ga 0.9284 0.7500 0.4082
Pt 0.0966 0.2500 0.3540
Pt 0.4034 0.7500 0.8540
Pt 0.5966 0.2500 0.1460
Pt 0.9034 0.7500 0.6460
```

# 7
Density functional theory data (GGA-PBE) for an optimized crystal structure of Na2ZnCd2. Values from VASP.

Properties
Energy of formation from the pure elements = 0.187 eV per atom
Calculated total energy = -0.961 eV per atom
Offset from the most stable computed form = 0.99 eV/f.u.
Spin magnetization = 0.0 μB per formula unit

Geometry as Quantum ESPRESSO input:
```
&SYSTEM
  ibrav = 0, nat = 5, ntyp = 3
/
ATOMIC_SPECIES
Na 22.99 Na.upf
Zn 65.41 Zn.upf
Cd 112.41 Cd.upf
CELL_PARAMETERS angstrom
-2.1012 2.1012 7.5851
2.1012 -2.1012 7.5851
2.1012 2.1012 -7.5851
ATOMIC_POSITIONS crystal
Na 0.2500 0.7500 0.5000
Na 0.7500 0.2500 0.5000
Zn 0.0000 0.0000 0.0000
Cd 0.4078 0.4078 0.0000
Cd 0.5922 0.5922 0.0000
```

# 8
Density functional theory data (GGA-PBE) for an optimized crystal structure of Pm6In6Sn. Values from VASP.

Properties
Energy of formation from the pure elements = -0.355 eV per atom
Calculated total energy = -4.119 eV per atom
Spin magnetization = 0.0 μB per formula unit

Geometry as Quantum ESPRESSO input:
```
&SYSTEM
  ibrav = 0, nat = 13, ntyp = 3
/
ATOMIC_SPECIES
Pm 145.00 Pm.upf
In 114.82 In.upf
Sn 118.71 Sn.upf
CELL_PARAMETERS angstrom
6.4765 0.0000 0.0000
-3.2383 5.6088 0.0000
0.0000 0.0000 10.7663
ATOMIC_POSITIONS crystal
Pm 0.0000 0.0000 0.2026
Pm 0.0000 0.0000 0.7974
Pm 0.3333 0.6667 0.0000
Pm 0.3333 0.6667 0.5000
Pm 0.6667 0.3333 0.0000
Pm 0.6667 0.3333 0.5000
In 0.0000 0.5000 0.2470
In 0.0000 0.5000 0.7530
In 0.5000 0.0000 0.2470
In 0.5000 0.0000 0.7530
In 0.5000 0.5000 0.2470
In 0.5000 0.5000 0.7530
Sn 0.0000 0.0000 0.5000
```

# 9
Density functional theory data (GGA-PBE) for an optimized crystal structure of NpBeRu2. Values from VASP.

Properties
Energy of formation from the pure elements = -0.053 eV per atom
Calculated total energy = -8.857 eV per atom
Offset from the most stable computed form = 0.26 eV/f.u.
Spin magnetization = 2.6 μB per formula unit

Geometry as Quantum ESPRESSO input:
```
&SYSTEM
  ibrav = 0, nat = 4, ntyp = 3
/
ATOMIC_SPECIES
Np 237.00 Np.upf
Be 9.01 Be.upf
Ru 101.07 Ru.upf
CELL_PARAMETERS angstrom
0.0000 3.1312 3.1312
3.1312 0.0000 3.1312
3.1312 3.1312 0.0000
ATOMIC_POSITIONS crystal
Np 0.0000 0.0000 0.0000
Be 0.5000 0.5000 0.5000
Ru 0.2500 0.2500 0.2500
Ru 0.7500 0.7500 0.7500
```

# 10
Density functional theory data (GGA-PBE) for an optimized crystal structure of ZrTc. Values from VASP.

Properties
Energy of formation from the pure elements = 0.427 eV per atom
Calculated total energy = -9.030 eV per atom
Spin magnetization = 0.0 μB per formula unit

Geometry as Quantum ESPRESSO input:
```
&SYSTEM
  ibrav = 0, nat = 4, ntyp = 2
/
ATOMIC_SPECIES
Zr 91.22 Zr.upf
Tc 98.00 Tc.upf
CELL_PARAMETERS angstrom
3.1270 0.0000 0.0000
-1.5635 2.7081 0.0000
0.0000 0.0000 9.0879
ATOMIC_POSITIONS crystal
Zr 0.3333 0.6667 0.0000
Zr 0.6667 0.3333 0.5000
Tc 0.3333 0.6667 0.7236
Tc 0.6667 0.3333 0.2236
```

# 11
Density functional theory data (GGA-PBE) for an optimized crystal structure of Zr2PdPt. Values from VASP.

Properties
Energy of formation from the pure elements = -0.767 eV per atom
Calculated total energy = -7.849 eV per atom
Spin magnetization = 0.0 μB per formula unit

Geometry as Quantum ESPRESSO input:
```
&SYSTEM
  ibrav = 0, nat = 4, ntyp = 3
/
ATOMIC_SPECIES
Zr 91.22 Zr.upf
Pd 106.42 Pd.upf
Pt 195.08 Pt.upf
CELL_PARAMETERS angstrom
3.4936 0.0000 0.0000
0.0000 3.4936 0.0000
0.0000 0.0000 6.1734
ATOMIC_POSITIONS crystal
Zr 0.0000 0.0000 0.2478
Zr 0.0000 0.0000 0.7522
Pd 0.5000 0.5000 0.5000
Pt 0.5000 0.5000 0.0000
```

# 12
Density functional theory data (GGA-PBE) for an optimized crystal structure of Be2InSe. Values from VASP.

Properties
Raw formation energy = 0.242 eV/atom
Calculated total energy = -3.177 eV per atom
Offset from the most stable computed form = 0.37 eV/f.u.
Spin magnetization = 0.0 μB per formula unit

Geometry as Quantum ESPRESSO input:
```
&SYSTEM
  ibrav = 0, nat = 4, ntyp = 3
/
ATOMIC_SPECIES
Be 9.01 Be.upf
In 114.82 In.upf
Se 78.96 Se.upf
CELL_PARAMETERS angstrom
1.9010 -2.7363 0.0000
1.9010 2.7363 0.0000
0.0000 0.0000 7.7929
ATOMIC_POSITIONS crystal
Be 0.0000 0.0000 0.0000
Be 0.5000 0.5000 0.1396
In 0.5000 0.5000 0.7584
Se 0.0000 0.0000 0.2806
```